No. 1
24
Lattice="-0.039 -2.520 -6.221 6.694 -0.465 0.146 -0.486 -6.204 2.516" Properties=species:S:1:pos:R:3 comment="FeMo3PtN GGA-PBEsol relaxed" energy_ev_per_fu=-62.16 pbc="T T T"
Mo 0.743 -2.449 -2.340
Pt 3.527 -5.326 -4.643
N 3.754 -6.034 1.516
Fe 5.308 -2.807 -0.222
Pt 2.442 -7.431 -1.090
Mo -0.179 -7.188 -2.145
Mo 4.622 -2.774 -5.220
N 0.498 -6.140 -3.853
Mo 2.063 -7.563 -3.897
Mo 4.037 -3.525 -2.512
Mo 3.006 -1.509 -0.846
Fe 4.214 -6.276 -2.430
Mo 5.496 -4.841 1.633
N 5.773 -2.757 -3.445
Fe 2.001 -3.342 -4.575
Fe 0.816 -5.952 0.111
Mo 3.302 -4.907 -0.216
Mo 6.211 -4.773 -3.910
Mo 1.101 -3.265 0.388
Pt 0.395 -0.588 -0.228
N 2.314 -3.446 -1.335
Pt 5.974 -5.033 -1.156
Mo 4.885 -7.262 0.218
Mo 1.731 -5.077 -2.503

No. 2
80
Lattice="10.563 0.025 0.025 0.428 10.554 0.025 0.428 0.412 10.546" Properties=species:S:1:pos:R:3 comment="Na9FeMo6O24 GGA-PBEsol relaxed" energy_ev_per_fu=-297.16 pbc="T T T"
O 0.405 7.813 0.828
Na 8.774 2.837 0.767
Na 1.204 8.735 2.807
O 9.770 7.477 9.104
Mo 10.443 1.483 3.659
O 9.094 6.961 6.581
O 2.904 5.475 6.436
Na 8.387 10.607 5.662
O 10.289 10.629 2.817
O 9.737 9.406 7.138
Na 0.500 5.041 2.831
O 4.951 10.698 6.870
Fe 2.921 2.811 2.710
O 4.679 8.342 5.360
O 9.878 1.424 5.339
O 3.280 3.323 9.481
O 8.138 7.669 1.114
O 5.837 4.460 8.139
O 5.760 9.666 1.228
Na 2.635 7.333 5.042
O 3.069 2.609 6.518
O 1.800 5.695 9.615
Na 8.783 3.658 5.553
O 6.467 0.293 3.725
Na 7.428 5.125 2.167
O 1.648 3.515 1.492
Na 5.056 2.840 0.203
O 7.441 4.671 10.439
O 1.703 8.079 7.623
Na 2.643 8.154 9.829
O 8.349 8.383 4.077
O 8.694 4.369 7.868
O 1.129 0.363 7.778
Na 6.362 8.151 10.392
O 3.595 10.160 10.518
Mo 2.236 3.971 5.819
Mo 4.106 10.294 1.348
Mo 0.975 9.508 6.936
Na 8.249 9.908 1.969
O 5.581 6.531 2.456
O 6.739 2.650 5.235
Mo 4.053 5.892 1.869
Mo 9.538 6.954 0.358
Na 3.990 5.866 8.428
O 11.013 3.178 9.767
Mo 1.879 4.037 10.237
Mo 6.042 2.008 3.755
Na 3.169 1.084 8.626
Na 5.404 2.431 7.143
O 6.721 2.815 2.368
O 0.539 3.959 6.311
O 7.843 9.445 9.138
O 7.973 1.401 7.794
O 10.879 7.032 4.285
O 3.977 6.321 0.156
Na 3.031 0.385 4.934
O 7.823 0.832 0.077
O 1.540 9.567 5.257
O 8.514 5.516 4.159
O 3.445 9.591 2.801
O 4.116 4.091 2.021
O 7.173 8.827 6.715
Fe 8.497 8.180 7.885
O 9.715 2.912 2.973
Na 10.214 2.256 7.788
Mo 9.182 7.020 4.776
Na 6.014 8.560 3.452
O 7.302 6.900 8.575
O 9.618 5.296 0.981
Mo 7.312 0.697 9.247
O 4.697 8.176 8.227
Na 10.918 5.950 7.764
O 3.575 1.546 1.457
Mo 7.365 5.099 8.727
O 4.245 2.164 3.881
O 1.681 1.585 3.458
O 2.724 6.622 2.727
O 2.324 4.031 4.014
Mo 5.376 8.983 6.840
O 5.658 1.325 9.367

No. 3
24
Lattice="5.138 0.000 0.000 -2.569 4.818 -0.053 0.001 -0.150 13.356" Properties=species:S:1:pos:R:3 comment="NaFeMo2O8 GGA-PBEsol relaxed" energy_ev_per_fu=-97.58 pbc="T T T"
O 0.536 1.390 5.648
O 0.477 3.009 10.210
O 0.877 0.596 8.197
O 4.262 0.671 1.520
Mo 2.754 1.673 1.505
O 3.046 1.584 9.771
O -0.535 1.316 12.327
O 1.548 0.918 0.467
O 1.023 3.751 12.836
Na 4.734 -0.112 10.017
O -0.475 3.084 3.532
Na -2.164 4.780 3.286
O 3.105 3.352 0.976
Fe 0.000 0.000 0.000
O 2.035 3.278 7.655
Mo 2.385 1.599 8.183
O -1.020 3.825 6.158
O 1.693 4.072 5.106
Mo 0.186 3.070 5.120
Fe 0.001 -0.075 6.678
Mo -0.183 2.995 11.798
O 3.591 0.843 7.145
O 2.094 1.660 3.093
O -1.691 3.998 11.783

No. 4
5
Lattice="-0.874 0.231 -4.360 -0.877 -4.365 -0.055 -5.391 1.069 1.137" Properties=species:S:1:pos:R:3 comment="NaSrFeMo2 GGA-PBEsol relaxed" ef_mev_per_atom=1146 pbc="T T T"
Na -3.571 -1.532 -1.639
Mo -0.439 -2.182 -0.028
Sr -2.695 0.534 0.569
Mo -0.437 0.115 -2.180
Fe 0.000 0.000 0.000

No. 5
4
Lattice="2.537 0.000 0.000 0.000 2.537 0.000 0.000 0.000 7.288" Properties=species:S:1:pos:R:3 comment="FeNi2Mo GGA-PBEsol relaxed" ef_mev_per_atom=-8 polymorph_energy_mev_per_atom=24 pbc="T T T"
Mo 1.268 1.268 3.644
Ni 0.000 0.000 1.711
Ni 0.000 0.000 5.576
Fe 1.268 1.268 0.000

No. 6
4
Lattice="-0.662 0.181 -3.536 -2.880 -2.120 0.431 -0.245 3.813 2.075" Properties=species:S:1:pos:R:3 comment="FeNi2Mo GGA-PBEsol relaxed" ef_mev_per_atom=-18 polymorph_energy_mev_per_atom=15 pbc="T T T"
Fe -1.771 -0.970 -1.552
Ni -1.339 1.512 -1.506
Ni 0.000 0.000 0.000
Mo -2.448 0.362 0.477

No. 7
4
Lattice="2.529 0.000 0.000 0.000 4.104 0.000 0.000 0.000 4.484" Properties=species:S:1:pos:R:3 comment="FeNi2Mo GGA-PBEsol relaxed" ef_mev_per_atom=20 polymorph_energy_mev_per_atom=52 pbc="T T T"
Ni 0.000 0.000 0.111
Fe 1.264 0.000 2.440
Mo 1.264 2.052 0.966
Ni 0.000 2.052 3.210

No. 8
4
Lattice="-2.742 2.289 0.422 -2.025 -2.668 1.311 3.521 0.945 2.428" Properties=species:S:1:pos:R:3 comment="Fe2NiMo GGA-PBEsol relaxed" ef_mev_per_atom=21 pbc="T T T"
Mo -2.383 -0.190 0.866
Ni 0.000 0.000 0.000
Fe -0.803 1.522 1.858
Fe -0.444 -0.956 2.302